<a>
First-principles (PBE) data for crystalline PrTlSnHg at its relaxed geometry, as listed in the Alexandria database.

Cell: 4.6816 4.7296 4.9101 Å, 90.00 90.00 90.00°
Last column: nearest neighbours and their distance in Å.
Fractional positions:
Pr1 0.0000 0.0000 0.0000  4 Sn 3.33, 4 Tl 3.39, 4 Hg 3.41
Tl1 0.5000 0.0000 0.5000  4 Hg 3.33, 4 Pr 3.39, 4 Sn 3.41
Sn1 0.5000 0.5000 0.0000  4 Pr 3.33, 4 Hg 3.39, 4 Tl 3.41
Hg1 0.0000 0.5000 0.5000  4 Tl 3.33, 4 Sn 3.39, 4 Pr 3.41

Magnetization: 0.00 μB/cell
Space group: No. 47


<b>
First-principles (PBE) data for crystalline PrTlSnHg at its relaxed geometry, as listed in the Alexandria database.

Cell: 7.7267 7.7267 7.7267 Å, 90.00 90.00 90.00°
Last column: nearest neighbours and their distance in Å.
Fractional positions:
Pr1 0.0000 0.0000 0.0000  4 Hg 3.35, 4 Sn 3.35
Pr2 0.0000 0.5000 0.5000  4 Hg 3.35, 4 Sn 3.35
Pr3 0.5000 0.0000 0.5000  4 Hg 3.35, 4 Sn 3.35
Pr4 0.5000 0.5000 0.0000  4 Hg 3.35, 4 Sn 3.35
Tl1 0.0000 0.0000 0.5000  4 Hg 3.35, 4 Sn 3.35
Tl2 0.0000 0.5000 0.0000  4 Hg 3.35, 4 Sn 3.35
Tl3 0.5000 0.0000 0.0000  4 Hg 3.35, 4 Sn 3.35
Tl4 0.5000 0.5000 0.5000  4 Hg 3.35, 4 Sn 3.35
Sn1 0.2500 0.2500 0.7500  4 Tl 3.35, 4 Pr 3.35
Sn2 0.2500 0.7500 0.2500  4 Tl 3.35, 4 Pr 3.35
Sn3 0.7500 0.2500 0.2500  4 Tl 3.35, 4 Pr 3.35
Sn4 0.7500 0.7500 0.7500  4 Tl 3.35, 4 Pr 3.35
Hg1 0.2500 0.2500 0.2500  4 Tl 3.35, 4 Pr 3.35
Hg2 0.2500 0.7500 0.7500  4 Tl 3.35, 4 Pr 3.35
Hg3 0.7500 0.2500 0.7500  4 Tl 3.35, 4 Pr 3.35
Hg4 0.7500 0.7500 0.2500  4 Tl 3.35, 4 Pr 3.35

Magnetization: 0.00 μB/cell
Space group: No. 216


The structure with the greatest stability is <a>.


<a>
First-principles (PBE) data for crystalline PrTmSnHg at its relaxed geometry, as listed in the Alexandria database.

Cell: 7.5800 7.5800 7.5800 Å, 90.00 90.00 90.00°
Last column: nearest neighbours and their distance in Å.
Fractional positions:
Pr1 0.0000 0.0000 0.0000  4 Sn 3.28, 4 Hg 3.28
Pr2 0.0000 0.5000 0.5000  4 Sn 3.28, 4 Hg 3.28
Pr3 0.5000 0.0000 0.5000  4 Sn 3.28, 4 Hg 3.28
Pr4 0.5000 0.5000 0.0000  4 Sn 3.28, 4 Hg 3.28
Tm1 0.0000 0.0000 0.5000  4 Hg 3.28, 4 Sn 3.28
Tm2 0.0000 0.5000 0.0000  4 Hg 3.28, 4 Sn 3.28
Tm3 0.5000 0.0000 0.0000  4 Hg 3.28, 4 Sn 3.28
Tm4 0.5000 0.5000 0.5000  4 Hg 3.28, 4 Sn 3.28
Sn1 0.2500 0.2500 0.7500  4 Pr 3.28, 4 Tm 3.28
Sn2 0.2500 0.7500 0.2500  4 Pr 3.28, 4 Tm 3.28
Sn3 0.7500 0.2500 0.2500  4 Pr 3.28, 4 Tm 3.28
Sn4 0.7500 0.7500 0.7500  4 Pr 3.28, 4 Tm 3.28
Hg1 0.2500 0.2500 0.2500  4 Pr 3.28, 4 Tm 3.28
Hg2 0.2500 0.7500 0.7500  4 Pr 3.28, 4 Tm 3.28
Hg3 0.7500 0.2500 0.7500  4 Pr 3.28, 4 Tm 3.28
Hg4 0.7500 0.7500 0.2500  4 Pr 3.28, 4 Tm 3.28

Magnetization: 0.00 μB/cell
Space group: No. 216


<b>
First-principles (PBE) data for crystalline PrTmSnHg at its relaxed geometry, as listed in the Alexandria database.

Cell: 4.4576 4.4475 11.6040 Å, 90.00 90.00 90.00°
Last column: nearest neighbours and their distance in Å.
Fractional positions:
Pr1 0.0000 0.0000 0.0000  3 Sn 3.18-3.43, 4 Hg 3.20
Pr2 0.0000 0.5000 0.5000  3 Sn 3.18-3.43, 4 Hg 3.20
Tm1 0.5000 0.0000 0.2763  3 Hg 3.19-3.43, 4 Sn 3.20
Tm2 0.5000 0.5000 0.7763  3 Hg 3.19-3.43, 4 Sn 3.20
Sn1 0.0000 0.0000 0.7255  2 Hg 3.01, 1 Pr 3.18, 4 Tm 3.20
Sn2 0.0000 0.5000 0.2255  2 Hg 3.01, 1 Pr 3.18, 4 Tm 3.20
Hg1 0.5000 0.0000 0.5508  2 Sn 3.01, 1 Tm 3.19, 4 Pr 3.20
Hg2 0.5000 0.5000 0.0508  2 Sn 3.01, 1 Tm 3.19, 4 Pr 3.20

Magnetization: 0.00 μB/cell
Space group: No. 38


The structure with the greatest stability is <b>.


<a>
First-principles (PBE) data for crystalline SrPr2Hg at its relaxed geometry, as listed in the Alexandria database.

Cell: 3.9030 3.9030 34.1551 Å, 90.00 90.00 120.00°
Last column: nearest neighbours and their distance in Å.
Fractional positions:
Sr1 0.0000 0.0000 0.0000  6 Sr 3.90, 6 Pr 4.01-4.04
Sr2 0.3333 0.6667 0.6667  6 Sr 3.90, 6 Pr 4.01-4.04
Sr3 0.6667 0.3333 0.3333  6 Sr 3.90, 6 Pr 4.01-4.04
Pr1 0.0000 0.0000 0.2352  3 Hg 3.26
Pr2 0.0000 0.0000 0.4304  3 Hg 3.26
Pr3 0.3333 0.6667 0.0971  3 Hg 3.26
Pr4 0.3333 0.6667 0.9018  3 Hg 3.26
Pr5 0.6667 0.3333 0.5685  3 Hg 3.26
Pr6 0.6667 0.3333 0.7637  3 Hg 3.26
Hg1 0.0000 0.0000 0.8329  6 Pr 3.26
Hg2 0.3333 0.6667 0.4996  6 Pr 3.26
Hg3 0.6667 0.3333 0.1662  6 Pr 3.26

Magnetization: 0.00 μB/cell
Space group: No. 160


<b>
First-principles (PBE) data for crystalline SrPr2Hg at its relaxed geometry, as listed in the Alexandria database.

Cell: 3.9137 3.9137 9.6117 Å, 90.00 90.00 90.00°
Last column: nearest neighbours and their distance in Å.
Fractional positions:
Sr1 0.0000 0.0000 0.0000  4 Sr 3.91, 8 Pr 4.07
Pr1 0.5000 0.5000 0.3103  4 Hg 3.31, 1 Pr 3.65
Pr2 0.5000 0.5000 0.6897  4 Hg 3.31, 1 Pr 3.65
Hg1 0.0000 0.0000 0.5000  8 Pr 3.31

Magnetization: 0.00 μB/cell
Space group: No. 123


<c>
First-principles (PBE) data for crystalline SrPr2Hg at its relaxed geometry, as listed in the Alexandria database.

Cell: 3.7976 3.7976 36.6189 Å, 90.00 90.00 120.00°
Last column: nearest neighbours and their distance in Å.
Fractional positions:
Sr1 0.0000 0.0000 0.0000  2 Pr 3.70, 6 Sr 3.80
Sr2 0.3333 0.6667 0.6667  2 Pr 3.70, 6 Sr 3.80
Sr3 0.6667 0.3333 0.3333  2 Pr 3.70, 6 Sr 3.80
Pr1 0.0000 0.0000 0.1010  3 Hg 3.25
Pr2 0.0000 0.0000 0.8990  3 Hg 3.25
Pr3 0.3333 0.6667 0.5656  3 Hg 3.25
Pr4 0.3333 0.6667 0.7677  3 Hg 3.25
Pr5 0.6667 0.3333 0.2323  3 Hg 3.25
Pr6 0.6667 0.3333 0.4344  3 Hg 3.25
Hg1 0.0000 0.0000 0.5000  6 Pr 3.25
Hg2 0.3333 0.6667 0.1667  6 Pr 3.25
Hg3 0.6667 0.3333 0.8333  6 Pr 3.25

Magnetization: 0.01 μB/cell
Space group: No. 166


The structure with the greatest stability is <b>.


<a>
First-principles (PBE) data for crystalline SrPr3Hg2 at its relaxed geometry, as listed in the Alexandria database.

Cell: 9.0943 9.0943 9.4097 Å, 116.15 116.15 35.38°
Last column: nearest neighbours and their distance in Å.
Fractional positions:
Sr1 0.1289 0.1289 0.1952  5 Hg 3.42-3.58, 2 Pr 3.77
Sr2 0.8711 0.8711 0.8048  5 Hg 3.42-3.58, 2 Pr 3.77
Pr1 0.0670 0.0670 0.7156  3 Hg 3.40-3.45, 6 Pr 3.62-3.78
Pr2 0.3051 0.3051 0.9981  2 Hg 3.07-3.25, 2 Pr 3.37
Pr3 0.3802 0.3802 0.4753  4 Hg 3.07-3.38
Pr4 0.6198 0.6198 0.5247  4 Hg 3.07-3.38
Pr5 0.6949 0.6949 0.0019  2 Hg 3.07-3.25, 2 Pr 3.37
Pr6 0.9330 0.9330 0.2844  3 Hg 3.40-3.45, 6 Pr 3.62-3.78
Hg1 0.2304 0.2304 0.6111  5 Pr 3.24-3.40, 3 Sr 3.47-3.58
Hg2 0.4953 0.4953 0.8396  1 Hg 2.95, 2 Pr 3.07
Hg3 0.5047 0.5047 0.1604  1 Hg 2.95, 2 Pr 3.07
Hg4 0.7696 0.7696 0.3889  5 Pr 3.24-3.40, 3 Sr 3.47-3.58

Magnetization: 0.00 μB/cell
Space group: No. 12


<b>
First-principles (PBE) data for crystalline SrPr3Hg2 at its relaxed geometry, as listed in the Alexandria database.

Cell: 5.3693 9.6840 7.5768 Å, 90.00 90.00 90.00°
Last column: nearest neighbours and their distance in Å.
Fractional positions:
Sr1 0.0000 0.0601 0.0000  3 Hg 3.32-3.45
Sr2 0.0000 0.9399 0.5000  3 Hg 3.32-3.45
Pr1 0.0000 0.3349 0.6513  4 Hg 3.13-3.28
Pr2 0.0000 0.6651 0.1513  4 Hg 3.13-3.28
Pr3 0.5000 0.1745 0.3257  4 Hg 3.14-3.24
Pr4 0.5000 0.4385 0.9777  3 Hg 3.31-3.44, 1 Pr 3.67
Pr5 0.5000 0.5615 0.4777  3 Hg 3.31-3.44, 1 Pr 3.67
Pr6 0.5000 0.8255 0.8257  4 Hg 3.14-3.24
Hg1 0.0000 0.3488 0.2364  6 Pr 3.13-3.44, 1 Sr 3.32
Hg2 0.0000 0.6512 0.7364  6 Pr 3.13-3.44, 1 Sr 3.32
Hg3 0.5000 0.1528 0.7388  5 Pr 3.14-3.31, 2 Sr 3.45
Hg4 0.5000 0.8472 0.2388  5 Pr 3.14-3.31, 2 Sr 3.45

Magnetization: 0.00 μB/cell
Space group: No. 26


The structure with the greatest stability is <b>.


<a>
First-principles (PBE) data for crystalline SrPrZnHg at its relaxed geometry, as listed in the Alexandria database.

Cell: 3.8674 3.8674 7.7666 Å, 90.00 90.00 90.00°
Last column: nearest neighbours and their distance in Å.
Fractional positions:
Sr1 0.0000 0.0000 0.0000  4 Zn 3.44, 4 Hg 3.47, 1 Pr 3.73
Pr1 0.0000 0.0000 0.4799  4 Zn 3.19, 4 Hg 3.33
Zn1 0.5000 0.5000 0.2680  4 Pr 3.19, 4 Sr 3.44, 1 Hg 3.55
Hg1 0.5000 0.5000 0.7245  4 Pr 3.33, 4 Sr 3.47, 1 Zn 3.55

Magnetization: 0.15 μB/cell
Space group: No. 99


<b>
First-principles (PBE) data for crystalline SrPrZnHg at its relaxed geometry, as listed in the Alexandria database.

Cell: 7.7247 7.7247 7.7247 Å, 90.00 90.00 90.00°
Last column: nearest neighbours and their distance in Å.
Fractional positions:
Sr1 0.0000 0.0000 0.0000  4 Zn 3.34, 4 Hg 3.34
Sr2 0.0000 0.5000 0.5000  4 Hg 3.34, 4 Zn 3.34
Sr3 0.5000 0.0000 0.5000  4 Hg 3.34, 4 Zn 3.34
Sr4 0.5000 0.5000 0.0000  4 Hg 3.34, 4 Zn 3.34
Pr1 0.0000 0.0000 0.5000  4 Hg 3.34, 4 Zn 3.34
Pr2 0.0000 0.5000 0.0000  4 Hg 3.34, 4 Zn 3.34
Pr3 0.5000 0.0000 0.0000  4 Hg 3.34, 4 Zn 3.34
Pr4 0.5000 0.5000 0.5000  4 Hg 3.34, 4 Zn 3.34
Zn1 0.2500 0.2500 0.7500  4 Pr 3.34, 4 Sr 3.34
Zn2 0.2500 0.7500 0.2500  4 Pr 3.34, 4 Sr 3.34
Zn3 0.7500 0.2500 0.2500  4 Pr 3.34, 4 Sr 3.34
Zn4 0.7500 0.7500 0.7500  4 Sr 3.34, 4 Pr 3.34
Hg1 0.2500 0.2500 0.2500  4 Pr 3.34, 4 Sr 3.34
Hg2 0.2500 0.7500 0.7500  4 Pr 3.34, 4 Sr 3.34
Hg3 0.7500 0.2500 0.7500  4 Pr 3.34, 4 Sr 3.34
Hg4 0.7500 0.7500 0.2500  4 Pr 3.34, 4 Sr 3.34

Magnetization: 0.00 μB/cell
Space group: No. 216


The structure with the greatest stability is <a>.


<a>
First-principles (PBE) data for crystalline Tb4PrHg at its relaxed geometry, as listed in the Alexandria database.

Cell: 3.6239 3.6239 14.0748 Å, 90.00 90.00 90.00°
Last column: nearest neighbours and their distance in Å.
Fractional positions:
Tb1 0.0000 0.0000 0.1411  4 Hg 3.24, 8 Tb 3.57-3.62
Tb2 0.0000 0.0000 0.8589  4 Hg 3.24, 8 Tb 3.57-3.62
Tb3 0.5000 0.5000 0.3178  8 Tb 3.57-3.62, 4 Pr 3.63
Tb4 0.5000 0.5000 0.6822  8 Tb 3.57-3.62, 4 Pr 3.63
Pr1 0.0000 0.0000 0.5000  4 Pr 3.62, 8 Tb 3.63
Hg1 0.5000 0.5000 0.0000  8 Tb 3.24, 4 Hg 3.62

Magnetization: 0.00 μB/cell
Space group: No. 123


<b>
First-principles (PBE) data for crystalline Tb4PrHg at its relaxed geometry, as listed in the Alexandria database.

Cell: 8.2925 8.2925 6.3966 Å, 100.12 100.12 115.58°
Last column: nearest neighbours and their distance in Å.
Fractional positions:
Tb1 0.0878 0.7136 0.9521  2 Hg 3.18, 3 Tb 3.33-3.42, 1 Pr 3.54
Tb2 0.1649 0.3964 0.6290  2 Hg 3.26-3.28, 2 Tb 3.33-3.41, 2 Pr 3.50-3.58
Tb3 0.2864 0.9122 0.5479  2 Hg 3.18, 3 Tb 3.33-3.42, 1 Pr 3.54
Tb4 0.3964 0.1649 0.1290  2 Hg 3.26-3.28, 2 Tb 3.33-3.41, 2 Pr 3.50-3.58
Tb5 0.6036 0.8351 0.8710  2 Hg 3.26-3.28, 2 Tb 3.33-3.41, 2 Pr 3.50-3.58
Tb6 0.7136 0.0878 0.4521  2 Hg 3.18, 3 Tb 3.33-3.42, 1 Pr 3.54
Tb7 0.8351 0.6036 0.3710  2 Hg 3.26-3.28, 2 Tb 3.33-3.41, 2 Pr 3.50-3.58
Tb8 0.9122 0.2864 0.0479  2 Hg 3.18, 3 Tb 3.33-3.42, 1 Pr 3.54
Pr1 0.4032 0.5968 0.2500  10 Tb 3.50-3.81
Pr2 0.5968 0.4032 0.7500  10 Tb 3.50-3.81
Hg1 0.0007 0.9993 0.2500  8 Tb 3.18-3.28, 2 Hg 3.20
Hg2 0.9993 0.0007 0.7500  8 Tb 3.18-3.28, 2 Hg 3.20

Magnetization: 0.00 μB/cell
Space group: No. 15


The structure with the greatest stability is <a>.


<a>
First-principles (PBE) data for crystalline TbPrHg3 at its relaxed geometry, as listed in the Alexandria database.

Cell: 7.3841 7.3841 6.4273 Å, 90.00 90.00 120.00°
Last column: nearest neighbours and their distance in Å.
Fractional positions:
Tb1 0.3333 0.6667 0.2500  12 Hg 3.61-3.72
Tb2 0.6667 0.3333 0.7500  12 Hg 3.61-3.72
Pr1 0.0000 0.0000 0.0000  6 Hg 3.07, 2 Pr 3.21
Pr2 0.0000 0.0000 0.5000  6 Hg 3.07, 2 Pr 3.21
Hg1 0.2043 0.4086 0.7500  2 Hg 2.86, 2 Pr 3.07
Hg2 0.2043 0.7957 0.7500  2 Hg 2.86, 2 Pr 3.07
Hg3 0.4086 0.2043 0.2500  2 Hg 2.86, 2 Pr 3.07
Hg4 0.5914 0.7957 0.7500  2 Hg 2.86, 2 Pr 3.07
Hg5 0.7957 0.2043 0.2500  2 Hg 2.86, 2 Pr 3.07
Hg6 0.7957 0.5914 0.2500  2 Hg 2.86, 2 Pr 3.07

Magnetization: 0.00 μB/cell
Space group: No. 194


<b>
First-principles (PBE) data for crystalline TbPrHg3 at its relaxed geometry, as listed in the Alexandria database.

Cell: 14.8240 14.8240 4.9964 Å, 90.00 90.00 165.98°
Last column: nearest neighbours and their distance in Å.
Fractional positions:
Tb1 0.2103 0.7897 0.7500  7 Hg 3.14-3.19
Tb2 0.7897 0.2103 0.2500  7 Hg 3.14-3.19
Pr1 0.0758 0.9242 0.2500  12 Hg 3.38-3.63, 2 Pr 3.62
Pr2 0.9242 0.0758 0.7500  12 Hg 3.38-3.63, 2 Pr 3.62
Hg1 0.3172 0.6828 0.7500  2 Hg 3.05, 5 Tb 3.15-3.19
Hg2 0.3769 0.6231 0.2500  3 Hg 2.91-3.05, 2 Tb 3.14
Hg3 0.4757 0.5243 0.2500  3 Hg 2.88-2.91
Hg4 0.5243 0.4757 0.7500  3 Hg 2.88-2.91
Hg5 0.6231 0.3769 0.7500  3 Hg 2.91-3.05, 2 Tb 3.14
Hg6 0.6828 0.3172 0.2500  2 Hg 3.05, 5 Tb 3.15-3.19

Magnetization: 0.39 μB/cell
Space group: No. 63


The structure with the greatest stability is <b>.


<a>
First-principles (PBE) data for crystalline Tb2PrHg2 at its relaxed geometry, as listed in the Alexandria database.

Cell: 3.7757 5.4307 13.9492 Å, 90.00 97.79 90.00°
Last column: nearest neighbours and their distance in Å.
Fractional positions:
Tb1 0.0489 0.2500 0.0961  8 Hg 3.18-3.31
Tb2 0.2360 0.2500 0.4726  2 Hg 3.17, 4 Tb 3.39
Tb3 0.7640 0.7500 0.5274  2 Hg 3.17, 4 Tb 3.39
Tb4 0.9511 0.7500 0.9039  8 Hg 3.18-3.31
Pr1 0.1479 0.7500 0.2922  6 Hg 3.31-3.38, 2 Tb 3.69
Pr2 0.8521 0.2500 0.7078  6 Hg 3.31-3.38, 2 Tb 3.69
Hg1 0.3550 0.7500 0.7116  4 Tb 3.17-3.26, 4 Pr 3.31
Hg2 0.4553 0.2500 0.9108  6 Tb 3.18-3.31, 2 Pr 3.38
Hg3 0.5447 0.7500 0.0892  6 Tb 3.18-3.31, 2 Pr 3.38
Hg4 0.6450 0.2500 0.2884  4 Tb 3.17-3.26, 4 Pr 3.31

Magnetization: 0.00 μB/cell
Space group: No. 11


<b>
First-principles (PBE) data for crystalline Tb2PrHg2 at its relaxed geometry, as listed in the Alexandria database.

Cell: 5.2692 5.2692 6.3884 Å, 90.00 90.00 120.00°
Last column: nearest neighbours and their distance in Å.
Fractional positions:
Tb1 0.3333 0.6667 0.1586  5 Hg 3.07-3.32
Tb2 0.6667 0.3333 0.8414  5 Hg 3.07-3.32
Pr1 0.0000 0.0000 0.5000  6 Hg 3.25
Hg1 0.3333 0.6667 0.6787  5 Tb 3.07-3.32, 3 Pr 3.25
Hg2 0.6667 0.3333 0.3213  5 Tb 3.07-3.32, 3 Pr 3.25

Magnetization: 0.87 μB/cell
Space group: No. 164


The structure with the greatest stability is <a>.